First-principles (PBE) data for K2MgRe after structural relaxation, as listed in Alexandria.

The structure in POSCAR format:
```
K2MgRe
1.0
2.9644 -0.0385 0.0000
-0.4839 2.9249 0.0000
0.0000 0.0000 12.3917
K Mg Re
2 1 1
direct
0.5000 0.5000 0.2844
0.0000 0.0000 0.9422
0.0000 0.0000 0.5548
0.5000 0.5000 0.7185
```

Computed properties:
Energy above the most stable polymorph in this dataset   76 meV/atom
Symmetry   Cmm2 (35)
Energy relative to the elements   997 meV per atom
Calculated density   4.5 g/cm³
Uncorrected energy   -12.252 eV per formula unit